Record 1
Below is a geometry-optimized Al2GePt8 structure, with properties calculated at the PBE level.

Results
Energy relative to the elements, eV/f.u.: -6.10
Uncorrected energy, eV per cell: -133.06

CIF file:
```
data_Al2GePt8
_chemical_formula_sum 'Al4 Ge2 Pt16'
_symmetry_space_group_name_H-M 'C 1 2/m 1'
_symmetry_Int_Tables_number 12
_symmetry_space_group_name_Hall '-C 2y'
_cell_length_a 16.2477
_cell_length_b 4.0059
_cell_length_c 5.5345
_cell_angle_alpha 90.00
_cell_angle_beta 105.41
_cell_angle_gamma 90.00
loop_
_atom_site_label
_atom_site_fract_x
_atom_site_fract_y
_atom_site_fract_z
_atom_site_occupancy
Al1 0.1846 0.0000 0.2312 1
Ge1 0.0000 0.5000 0.5000 1
Pt1 0.0270 0.0000 0.2495 1
Pt2 0.1044 0.5000 0.9329 1
Pt3 0.1498 0.5000 0.4696 1
Pt4 0.2182 0.0000 0.8083 1
```

Record 2
Below is a geometry-optimized CuPbBr2 structure, with properties calculated at the PBE level.

Results
ΔE to the lowest computed polymorph, meV per atom: 499
Uncorrected energy, eV per cell: -41.83

CIF file:
```
data_CuPbBr2
_chemical_formula_sum 'Cu4 Pb4 Br8'
_symmetry_space_group_name_H-M 'F -4 3 m'
_symmetry_Int_Tables_number 216
_symmetry_space_group_name_Hall 'F -4 2 3'
_cell_length_a 7.4379
_cell_length_b 7.4379
_cell_length_c 7.4379
_cell_angle_alpha 90.00
_cell_angle_beta 90.00
_cell_angle_gamma 90.00
loop_
_atom_site_label
_atom_site_fract_x
_atom_site_fract_y
_atom_site_fract_z
_atom_site_occupancy
Cu1 0.0000 0.0000 0.0000 1
Pb1 0.2500 0.2500 0.7500 1
Br1 0.0000 0.0000 0.5000 1
Br2 0.2500 0.2500 0.2500 1
```

Record 3
Below is a geometry-optimized TbCe2Tl structure, with properties calculated at the PBE level.

Results
ΔE to the lowest computed polymorph, meV per atom: 208
Energy relative to the elements, eV/f.u.: 0.19
Uncorrected energy, eV per cell: -74.70

CIF file:
```
data_TbCe2Tl
_chemical_formula_sum 'Tb4 Ce8 Tl4'
_symmetry_space_group_name_H-M 'F m -3 m'
_symmetry_Int_Tables_number 225
_symmetry_space_group_name_Hall '-F 4 2 3'
_cell_length_a 7.8147
_cell_length_b 7.8147
_cell_length_c 7.8147
_cell_angle_alpha 90.00
_cell_angle_beta 90.00
_cell_angle_gamma 90.00
loop_
_atom_site_label
_atom_site_fract_x
_atom_site_fract_y
_atom_site_fract_z
_atom_site_occupancy
Tb1 0.0000 0.0000 0.0000 1
Ce1 0.2500 0.2500 0.2500 1
Tl1 0.0000 0.0000 0.5000 1
```

Record 4
Below is a geometry-optimized LiTmAu structure, with properties calculated at the PBE level.

Results
ΔE to the lowest computed polymorph, meV per atom: 108
Energy relative to the elements, eV/f.u.: -1.34
Uncorrected energy, eV per cell: -44.03

CIF file:
```
data_LiTmAu
_chemical_formula_sum 'Li4 Tm4 Au4'
_symmetry_space_group_name_H-M 'F -4 3 m'
_symmetry_Int_Tables_number 216
_symmetry_space_group_name_Hall 'F -4 2 3'
_cell_length_a 6.6191
_cell_length_b 6.6191
_cell_length_c 6.6191
_cell_angle_alpha 90.00
_cell_angle_beta 90.00
_cell_angle_gamma 90.00
loop_
_atom_site_label
_atom_site_fract_x
_atom_site_fract_y
_atom_site_fract_z
_atom_site_occupancy
Li1 0.0000 0.0000 0.0000 1
Tm1 0.0000 0.0000 0.5000 1
Au1 0.2500 0.2500 0.7500 1
```

Record 5
Below is a geometry-optimized TbMg2SnPd4 structure, with properties calculated at the PBE level.

Results
Energy relative to the elements, eV/f.u.: -5.84
Uncorrected energy, eV per cell: -115.31

CIF file:
```
data_TbMg2SnPd4
_chemical_formula_sum 'Tb3 Mg6 Sn3 Pd12'
_symmetry_space_group_name_H-M 'R -3 m'
_symmetry_Int_Tables_number 166
_symmetry_space_group_name_Hall '-R 3 2"'
_cell_length_a 4.7122
_cell_length_b 4.7122
_cell_length_c 22.7020
_cell_angle_alpha 90.00
_cell_angle_beta 90.00
_cell_angle_gamma 120.00
loop_
_atom_site_label
_atom_site_fract_x
_atom_site_fract_y
_atom_site_fract_z
_atom_site_occupancy
Tb1 0.0000 0.0000 0.0000 1
Mg1 0.0000 0.0000 0.2490 1
Sn1 0.0000 0.0000 0.5000 1
Pd1 0.0000 0.0000 0.1282 1
Pd2 0.0000 0.0000 0.3796 1
```

Record 6
Below is a geometry-optimized BaNbTlO4 structure, with properties calculated at the PBE level.

Results
Uncorrected energy, eV per cell: -100.42

CIF file:
```
data_BaNbTlO4
_chemical_formula_sum 'Ba2 Nb2 Tl2 O8'
_symmetry_space_group_name_H-M 'P 1 21/m 1'
_symmetry_Int_Tables_number 11
_symmetry_space_group_name_Hall '-P 2yb'
_cell_length_a 7.1271
_cell_length_b 6.3557
_cell_length_c 7.9785
_cell_angle_alpha 90.00
_cell_angle_beta 109.55
_cell_angle_gamma 90.00
loop_
_atom_site_label
_atom_site_fract_x
_atom_site_fract_y
_atom_site_fract_z
_atom_site_occupancy
Ba1 0.2183 0.2500 0.1238 1
Nb1 0.2793 0.7500 0.8629 1
Tl1 0.2176 0.2500 0.6413 1
O1 0.1068 0.5161 0.8477 1
O2 0.3947 0.7500 0.6874 1
O3 0.4891 0.7500 0.0792 1
```

Record 7
Below is a geometry-optimized LaRu2F structure, with properties calculated at the PBE level.

Results
ΔE to the lowest computed polymorph, meV per atom: 1104
Uncorrected energy, eV per cell: -96.91

CIF file:
```
data_LaRu2F
_chemical_formula_sum 'La4 Ru8 F4'
_symmetry_space_group_name_H-M 'F m -3 m'
_symmetry_Int_Tables_number 225
_symmetry_space_group_name_Hall '-F 4 2 3'
_cell_length_a 6.4325
_cell_length_b 6.4325
_cell_length_c 6.4325
_cell_angle_alpha 90.00
_cell_angle_beta 90.00
_cell_angle_gamma 90.00
loop_
_atom_site_label
_atom_site_fract_x
_atom_site_fract_y
_atom_site_fract_z
_atom_site_occupancy
La1 0.0000 0.0000 0.0000 1
Ru1 0.2500 0.2500 0.2500 1
F1 0.0000 0.0000 0.5000 1
```

Record 8
Below is a geometry-optimized BePtAu2 structure, with properties calculated at the PBE level.

Results
Energy relative to the elements, eV/f.u.: -0.16
Uncorrected energy, eV per cell: -16.48

CIF file:
```
data_BePtAu2
_chemical_formula_sum 'Be1 Pt1 Au2'
_symmetry_space_group_name_H-M 'P 1 2/m 1'
_symmetry_Int_Tables_number 10
_symmetry_space_group_name_Hall '-P 2y'
_cell_length_a 2.9883
_cell_length_b 3.9158
_cell_length_c 5.4316
_cell_angle_alpha 90.00
_cell_angle_beta 104.47
_cell_angle_gamma 90.00
loop_
_atom_site_label
_atom_site_fract_x
_atom_site_fract_y
_atom_site_fract_z
_atom_site_occupancy
Be1 0.0000 0.0000 0.0000 1
Pt1 0.0000 0.0000 0.5000 1
Au1 0.3649 0.5000 0.2262 1
```

Record 9
Below is a geometry-optimized Dy2PuHg structure, with properties calculated at the PBE level.

Results
ΔE to the lowest computed polymorph, meV per atom: 166
Energy relative to the elements, eV/f.u.: 0.11
Uncorrected energy, eV per cell: -94.93

CIF file:
```
data_Dy2PuHg
_chemical_formula_sum 'Dy8 Pu4 Hg4'
_symmetry_space_group_name_H-M 'F m -3 m'
_symmetry_Int_Tables_number 225
_symmetry_space_group_name_Hall '-F 4 2 3'
_cell_length_a 7.5798
_cell_length_b 7.5798
_cell_length_c 7.5798
_cell_angle_alpha 90.00
_cell_angle_beta 90.00
_cell_angle_gamma 90.00
loop_
_atom_site_label
_atom_site_fract_x
_atom_site_fract_y
_atom_site_fract_z
_atom_site_occupancy
Dy1 0.2500 0.2500 0.2500 1
Pu1 0.0000 0.0000 0.0000 1
Hg1 0.0000 0.0000 0.5000 1
```

Record 10
Below is a geometry-optimized Zr2TcAgO structure, with properties calculated at the PBE level.

Results
Uncorrected energy, eV per cell: -26.74

CIF file:
```
data_Zr2TcAgO
_chemical_formula_sum 'Zr2 Tc1 Ag1 O1'
_symmetry_space_group_name_H-M 'P 4/m m m'
_symmetry_Int_Tables_number 123
_symmetry_space_group_name_Hall '-P 4 2'
_cell_length_a 5.1387
_cell_length_b 5.1387
_cell_length_c 4.8439
_cell_angle_alpha 90.00
_cell_angle_beta 90.00
_cell_angle_gamma 90.00
loop_
_atom_site_label
_atom_site_fract_x
_atom_site_fract_y
_atom_site_fract_z
_atom_site_occupancy
Zr1 0.0000 0.5000 0.0000 1
Tc1 0.0000 0.0000 0.5000 1
Ag1 0.0000 0.0000 0.0000 1
O1 0.5000 0.5000 0.5000 1
```